Density functional theory data (PBE) for a relaxed InTeAs2 crystal.

The formation energy from raw total energies comes out at 0.358 eV/atom. As for the density of states at the Fermi level: 0.87 states/eV per atom. Its offset from the most stable computed form is 1.55 eV/f.u. The magnetization is 0.000 μB/atom.

It has space group F-43m (No. 216), with a = 7.216 Å, b = 7.216 Å, c = 7.216 Å, α = 90.00°, β = 90.00° and γ = 90.00°. The distinct sites, in fractional coordinates, are In at (0.000, 0.000, 0.000), Te at (0.250, 0.250, 0.250), As at (0.000, 0.000, 0.500) and As at (0.250, 0.250, 0.750).

Density functional theory data (PBE) for a relaxed DyGaCu5 crystal.

The value obtained for the formation energy is -0.25 eV/atom. As for the density of states at the Fermi level: 0.52 states/eV per atom. The magnetization is 0.000 μB/atom.

It has space group Pnma (No. 62), with a = 8.074 Å, b = 5.030 Å, c = 10.163 Å, α = 90.00°, β = 90.00° and γ = 90.00°. The distinct sites, in fractional coordinates, are Dy at (0.242, 0.250, 0.060), Ga at (0.145, 0.750, 0.855), Cu at (0.066, 0.005, 0.306), Cu at (0.066, 0.750, 0.090), Cu at (0.092, 0.250, 0.516) and Cu at (0.182, 0.250, 0.754).

Density functional theory data (PBE) for a relaxed CePrY5 crystal.

The value obtained for the formation energy is 0.23 eV/atom. As for the density of states at the Fermi level: 1.85 states/eV per atom. The magnetization is 0.144 μB/atom.

It has space group Cmcm (No. 63), with a = 12.202 Å, b = 6.752 Å, c = 11.310 Å, α = 90.00°, β = 90.00° and γ = 90.00°. The distinct sites, in fractional coordinates, are Ce at (0.000, 0.000, 0.000), Pr at (0.000, 0.326, 0.250), Y at (0.000, 0.233, 0.750), Y at (0.149, 0.500, 0.000) and Y at (0.219, 0.120, 0.250).

Density functional theory data (PBE) for a relaxed Al2CrW2 crystal.

The value obtained for the formation energy is 0.23 eV/atom. As for the density of states at the Fermi level: 0.81 states/eV per atom. The magnetization is 0.454 μB/atom.

It has space group P4/mbm (No. 127), with a = 6.571 Å, b = 6.571 Å, c = 3.497 Å, α = 90.00°, β = 90.00° and γ = 90.00°. The distinct sites, in fractional coordinates, are Al at (0.132, 0.368, 0.000), Cr at (0.000, 0.000, 0.000) and W at (0.170, 0.670, 0.500).

Density functional theory data (PBE) for a relaxed KSi2Mo crystal.

The formation energy from raw total energies comes out at 0.243 eV/atom. As for the density of states at the Fermi level: 0.59 states/eV per atom. Its offset from the most stable computed form is 0.66 eV/f.u. The magnetization is 0.000 μB/atom.

It has space group R-3m (No. 166, hexagonal axes), with a = 3.1249 Å, b = 3.1249 Å, c = 27.7373 Å, α = 90.00°, β = 90.00° and γ = 120.00°. The distinct sites, in fractional coordinates, are K at (0.0000, 0.0000, 0.0000), Si at (0.0000, 0.0000, 0.2327) and Mo at (0.0000, 0.0000, 0.5000).

Density functional theory data (PBE) for a relaxed Sn3PBr3 crystal.

The formation energy from raw total energies comes out at -0.458 eV/atom. As for the density of states at the Fermi level: 0.00 states/eV per atom. The magnetization is 0.000 μB/atom.

It has space group P2_1/m (No. 11), with a = 8.798 Å, b = 4.238 Å, c = 12.256 Å, α = 90.00°, β = 93.13° and γ = 90.00°. The distinct sites, in fractional coordinates, are Sn at (0.092, 0.250, 0.392), Sn at (0.131, 0.250, 0.860), Sn at (0.346, 0.750, 0.625), P at (0.127, 0.250, 0.625), Br at (0.111, 0.250, 0.133), Br at (0.364, 0.750, 0.381) and Br at (0.373, 0.750, 0.869).